(1)
Material: Tl6Hg10Au
Method: DFT, GGA-PBE
State: optimized geometry

abc: 9.4288 9.4288 6.3351
angles: 90.00 90.00 120.00
Last column: nearest neighbours and their distance in Å.
Atoms (fractional coordinates):
Tl 0.0000 0.3924 0.2359  9 Hg 3.25-3.64, 1 Tl 3.61
Tl 0.0000 0.6076 0.7641  9 Hg 3.25-3.64, 1 Tl 3.61
Tl 0.3924 0.0000 0.2359  9 Hg 3.25-3.64, 1 Tl 3.61
Tl 0.3924 0.3924 0.7641  9 Hg 3.25-3.64, 1 Tl 3.61
Tl 0.6076 0.0000 0.7641  9 Hg 3.25-3.64, 1 Tl 3.61
Tl 0.6076 0.6076 0.2359  9 Hg 3.25-3.64, 1 Tl 3.61
Hg 0.0000 0.2407 0.7077  1 Au 2.93, 2 Tl 3.25
Hg 0.0000 0.7593 0.2923  1 Au 2.93, 2 Tl 3.25
Hg 0.2407 0.0000 0.7077  1 Au 2.93, 2 Tl 3.25
Hg 0.2407 0.2407 0.2923  1 Au 2.93, 2 Tl 3.25
Hg 0.3333 0.6667 0.0000  2 Hg 3.17, 6 Tl 3.27
Hg 0.3333 0.6667 0.5000  2 Hg 3.17, 6 Tl 3.35
Hg 0.6667 0.3333 0.0000  2 Hg 3.17, 6 Tl 3.27
Hg 0.6667 0.3333 0.5000  2 Hg 3.17, 6 Tl 3.35
Hg 0.7593 0.0000 0.2923  1 Au 2.93, 2 Tl 3.25
Hg 0.7593 0.7593 0.7077  1 Au 2.93, 2 Tl 3.25
Au 0.0000 0.0000 0.0000  6 Hg 2.93

Summary:
Spin magnetization = 0.00 μB per formula unit
Symmetry = P-31m (162)
ΔH_f (0 K) = 0.014 eV/atom

(2)
Material: Rb2HgSbAu
Method: DFT, GGA-PBE
State: optimized geometry

abc: 6.7199 6.7199 5.2372
angles: 90.00 90.00 90.00
Last column: nearest neighbours and their distance in Å.
Atoms (fractional coordinates):
Rb 0.0000 0.5000 0.0000  2 Au 3.36
Rb 0.5000 0.0000 0.0000  2 Au 3.36
Hg 0.0000 0.0000 0.5000  8 Rb 4.26, 4 Sb 4.75
Sb 0.5000 0.5000 0.5000  2 Au 2.62
Au 0.5000 0.5000 0.0000  2 Sb 2.62

Summary:
Spin magnetization = 0.00 μB per formula unit
Symmetry = P4/mmm (123)
Total DFT energy (no corrections) = -2.16 eV per atom